# 1
Ce2PrCrN4 | PBE-GGA | optimized geometry

Summary:
Its total energy is -274.959 eV per cell. As for the calculated density: 7.23 g cm⁻³. The volume is 15.192 Å³ per atom. For the total magnetic moment, the calculation gives 10.0 Bohr magnetons per cell.

abc: 3.465 11.755 11.936
angles: 90.00 90.00 90.00
Space group Cmcm (No. 63)
Asymmetric unit:
Ce 0.000 0.133 0.048 [8 per cell]
Pr 0.000 0.403 0.250 [4 per cell]
Cr 0.000 0.333 0.750 [4 per cell]
N 0.000 0.075 0.250 [4 per cell]
N 0.000 0.235 0.629 [8 per cell]
N 0.000 0.500 0.000 [4 per cell]

---

# 2
Sm8NiOs2 | PBE-GGA | optimized geometry

Summary:
The value obtained for the formation energy is -1.39 kcal/mol of atoms. As for the calculated density: 8.76 g cm⁻³. The volume is 28.286 Å³ per atom. For the total magnetic moment, the calculation gives 0.0 Bohr magnetons per cell.

abc: 8.485 12.653 6.173
angles: 90.00 110.12 90.00
Space group Cm (No. 8)
Asymmetric unit:
Sm 0.000 0.000 0.000 [2 per cell]
Sm 0.075 0.367 0.806 [4 per cell]
Sm 0.151 0.132 0.585 [4 per cell]
Sm 0.218 0.500 0.397 [2 per cell]
Sm 0.357 0.207 0.205 [4 per cell]
Ni 0.361 0.000 0.382 [2 per cell]
Os 0.363 0.311 0.693 [4 per cell]

---

# 3
Nd8Ir3PdI4 | PBE-GGA | optimized geometry

Summary:
Its total energy is -274.251 eV per cell. As for the calculated density: 7.72 g cm⁻³. The volume is 31.507 Å³ per atom. For the total magnetic moment, the calculation gives 0.0 Bohr magnetons per cell.

abc: 8.4680 8.4680 24.3544
angles: 90.00 90.00 120.00
Space group R-3m (No. 166, hexagonal axes)
Asymmetric unit:
Nd 0.0000 0.0000 0.2283 [6 per cell]
Nd 0.0095 0.5047 0.7716 [18 per cell]
Ir 0.0000 0.5000 0.5000 [9 per cell]
Pd 0.0000 0.0000 0.5000 [3 per cell]
I 0.0000 0.0000 0.0000 [3 per cell]
I 0.0000 0.5000 0.0000 [9 per cell]

---

# 4
HoTh5Sb6 | PBE-GGA | optimized geometry

Summary:
Its total energy is -155.307 eV per cell. As for the calculated density: 8.92 g cm⁻³. The volume is 31.892 Å³ per atom. For the total magnetic moment, the calculation gives 0.0 Bohr magnetons per cell.

abc: 7.762 13.460 7.773
angles: 90.00 109.53 90.00
Space group C2/m (No. 12)
Asymmetric unit:
Ho 0.000 0.000 0.000 [2 per cell]
Th 0.000 0.169 0.500 [4 per cell]
Th 0.000 0.334 0.000 [4 per cell]
Th 0.000 0.500 0.500 [2 per cell]
Sb 0.243 0.000 0.751 [4 per cell]
Sb 0.245 0.164 0.245 [8 per cell]

---

# 5
VSb2SeI | PBE-GGA | optimized geometry

Summary:
As for the calculated density: 5.11 g cm⁻³. The volume is 32.540 Å³ per atom. For the total magnetic moment, the calculation gives 0.1 Bohr magnetons per cell. As for the relative energy among the computed polymorphs: 871 meV per atom.

abc: 5.370 5.370 5.643
angles: 90.00 90.00 90.00
Space group P4/mmm (No. 123)
Asymmetric unit:
V 0.000 0.000 0.000 [1 per cell]
Sb 0.000 0.500 0.500 [2 per cell]
Se 0.500 0.500 0.500 [1 per cell]
I 0.500 0.500 0.000 [1 per cell]

---

# 6
In2CuBi | PBE-GGA | optimized geometry

Summary:
The value obtained for the formation energy is 4.09 kcal/mol of atoms. As for the calculated density: 7.46 g cm⁻³. The volume is 27.942 Å³ per atom. For the total magnetic moment, the calculation gives 0.0 Bohr magnetons per cell.

abc: 5.098 5.098 17.200
angles: 90.00 90.00 90.00
Space group I-42d (No. 122)
Asymmetric unit:
In 0.160 0.250 0.125 [8 per cell]
Cu 0.000 0.000 0.000 [4 per cell]
Bi 0.000 0.000 0.500 [4 per cell]

---

# 7
Zn4GaAg2 | PBE-GGA | optimized geometry

Summary:
The value obtained for the formation energy is 7.74 kcal/mol of atoms. As for the calculated density: 5.84 g cm⁻³. The volume is 22.212 Å³ per atom. For the total magnetic moment, the calculation gives 0.0 Bohr magnetons per cell. As for the relative energy among the computed polymorphs: 315 meV per atom.

abc: 4.910 4.910 12.897
angles: 90.00 90.00 90.00
Space group I4/mmm (No. 139)
Asymmetric unit:
Zn 0.000 0.000 0.196 [4 per cell]
Zn 0.000 0.500 0.000 [4 per cell]
Ga 0.000 0.000 0.000 [2 per cell]
Ag 0.000 0.000 0.392 [4 per cell]

---

# 8
CaTlSeNF | PBE-GGA | optimized geometry

Summary:
As for the calculated density: 5.48 g cm⁻³. The volume is 21.606 Å³ per atom. For the total magnetic moment, the calculation gives 0.0 Bohr magnetons per cell. As for the relative energy among the computed polymorphs: 90 meV per atom.

abc: 3.578 4.112 7.955
angles: 99.70 90.05 110.23
Space group P1 (No. 1)
Asymmetric unit:
Ca 0.000 0.000 0.000 [1 per cell]
Tl 0.814 0.307 0.545 [1 per cell]
Se 0.456 0.620 0.277 [1 per cell]
N 0.730 0.460 0.113 [1 per cell]
F 0.429 0.828 0.828 [1 per cell]

---

# 9
InGa2BO6 | PBE-GGA | optimized geometry

Summary:
Its total energy is -253.621 eV per cell. As for the calculated density: 5.14 g cm⁻³. The volume is 11.669 Å³ per atom. For the total magnetic moment, the calculation gives 0.0 Bohr magnetons per cell.

abc: 10.424 8.093 6.171
angles: 90.00 116.29 90.00
Space group C2/c (No. 15)
Asymmetric unit:
In 0.000 0.188 0.250 [4 per cell]
Ga 0.193 0.436 0.125 [8 per cell]
B 0.000 0.165 0.750 [4 per cell]
O 0.066 0.263 0.974 [8 per cell]
O 0.107 0.052 0.730 [8 per cell]
O 0.155 0.402 0.394 [8 per cell]

---

# 10
Ce7Ge5Ir | PBE-GGA | optimized geometry

Summary:
The value obtained for the formation energy is -11.55 kcal/mol of atoms. As for the calculated density: 7.58 g cm⁻³. The volume is 25.875 Å³ per atom. For the total magnetic moment, the calculation gives 7.9 Bohr magnetons per cell.

abc: 6.276 10.806 9.920
angles: 90.00 90.00 90.00
Space group Imm2 (No. 44)
Asymmetric unit:
Ce 0.000 0.000 0.000 [2 per cell]
Ce 0.000 0.000 0.462 [2 per cell]
Ce 0.000 0.279 0.734 [4 per cell]
Ce 0.000 0.338 0.162 [4 per cell]
Ce 0.000 0.500 0.370 [2 per cell]
Ge 0.000 0.500 0.910 [2 per cell]
Ge 0.206 0.265 0.458 [8 per cell]
Ir 0.000 0.000 0.734 [2 per cell]

---

# 11
NiHN3 | PBE-GGA | optimized geometry

Summary:
Its total energy is -22.404 eV per cell. As for the calculated density: 5.01 g cm⁻³. The volume is 6.746 Å³ per atom. For the total magnetic moment, the calculation gives 0.0 Bohr magnetons per cell.

abc: 3.231 3.231 3.231
angles: 90.00 90.00 90.00
Space group Pm-3m (No. 221)
Asymmetric unit:
Ni 0.000 0.000 0.000 [1 per cell]
H 0.500 0.500 0.500 [1 per cell]
N 0.000 0.500 0.500 [3 per cell]

---

# 12
Ba3Tl5F12 | PBE-GGA | optimized geometry

Summary:
Its total energy is -736.760 eV per cell. As for the calculated density: 6.07 g cm⁻³. The volume is 22.740 Å³ per atom. For the total magnetic moment, the calculation gives 0.0 Bohr magnetons per cell.

abc: 15.380 15.380 15.380
angles: 90.00 90.00 90.00
Space group Ia-3d (No. 230)
Asymmetric unit:
Ba 0.000 0.250 0.125 [24 per cell]
Tl 0.000 0.000 0.000 [16 per cell]
Tl 0.000 0.250 0.375 [24 per cell]
F 0.015 0.074 0.653 [96 per cell]

---

# 13
CaSe | PBE-GGA | optimized geometry

Summary:
Its total energy is -8.863 eV per cell. As for the calculated density: 4.06 g cm⁻³. The volume is 24.355 Å³ per atom. For the total magnetic moment, the calculation gives 0.0 Bohr magnetons per cell.

abc: 3.652 3.652 3.652
angles: 90.00 90.00 90.00
Space group Pm-3m (No. 221)
Asymmetric unit:
Ca 0.000 0.000 0.000 [1 per cell]
Se 0.500 0.500 0.500 [1 per cell]

---

# 14
LiRe2Sb | PBE-GGA | optimized geometry

Summary:
Its total energy is -57.866 eV per cell. As for the calculated density: 11.87 g cm⁻³. The volume is 17.527 Å³ per atom. For the total magnetic moment, the calculation gives 0.0 Bohr magnetons per cell.

abc: 2.999 4.928 9.487
angles: 90.00 90.00 90.00
Space group Cmm2 (No. 35)
Asymmetric unit:
Li 0.000 0.000 0.000 [2 per cell]
Re 0.000 0.000 0.458 [2 per cell]
Re 0.000 0.500 0.239 [2 per cell]
Sb 0.000 0.500 0.727 [2 per cell]

---

# 15
BaMnCl4 | PBE-GGA | optimized geometry

Summary:
As for the calculated density: 2.78 g cm⁻³. The volume is 33.204 Å³ per atom. For the total magnetic moment, the calculation gives 20.0 Bohr magnetons per cell. As for the relative energy among the computed polymorphs: 70 meV per atom.

abc: 10.703 7.236 10.334
angles: 90.00 95.34 90.00
Space group C2/c (No. 15)
Asymmetric unit:
Ba 0.250 0.250 0.000 [4 per cell]
Mn 0.000 0.124 0.250 [4 per cell]
Cl 0.029 0.278 0.448 [8 per cell]
Cl 0.193 0.035 0.736 [8 per cell]

---

# 16
Ta2Co4Ge3 | PBE-GGA | optimized geometry

Summary:
The value obtained for the formation energy is -5.39 kcal/mol of atoms. As for the calculated density: 11.22 g cm⁻³. The volume is 13.409 Å³ per atom. For the total magnetic moment, the calculation gives 0.0 Bohr magnetons per cell.

abc: 5.106 13.890 6.806
angles: 90.00 90.00 90.00
Space group Cmce (No. 64)
Asymmetric unit:
Ta 0.000 0.095 0.106 [8 per cell]
Co 0.000 0.171 0.486 [8 per cell]
Co 0.250 0.066 0.750 [8 per cell]
Ge 0.000 0.000 0.500 [4 per cell]
Ge 0.250 0.239 0.750 [8 per cell]

---

# 17
Ti4Nb3Bi | PBE-GGA | optimized geometry

Summary:
The value obtained for the formation energy is -0.45 kcal/mol of atoms. As for the calculated density: 7.75 g cm⁻³. The volume is 18.197 Å³ per atom. For the total magnetic moment, the calculation gives 0.0 Bohr magnetons per cell.

abc: 4.680 4.680 6.645
angles: 90.00 90.00 90.00
Space group P4/mmm (No. 123)
Asymmetric unit:
Ti 0.000 0.500 0.230 [4 per cell]
Nb 0.000 0.000 0.000 [1 per cell]
Nb 0.000 0.000 0.500 [1 per cell]
Nb 0.500 0.500 0.000 [1 per cell]
Bi 0.500 0.500 0.500 [1 per cell]

---

# 18
Pu3Pd4 | PBE-GGA | optimized geometry

Summary:
The value obtained for the formation energy is -10.42 kcal/mol of atoms. As for the calculated density: 12.94 g cm⁻³. The volume is 21.226 Å³ per atom. For the total magnetic moment, the calculation gives 96.4 Bohr magnetons per cell.

abc: 13.3608 13.3608 5.7668
angles: 90.00 90.00 120.00
Space group R-3 (No. 148, hexagonal axes)
Asymmetric unit:
Pu 0.0479 0.2127 0.2400 [18 per cell]
Pd 0.0000 0.0000 0.0000 [3 per cell]
Pd 0.0000 0.0000 0.5000 [3 per cell]
Pd 0.0555 0.2730 0.7244 [18 per cell]